No. 1
Below is crystalline Ca2MgPb2 at its relaxed geometry, with properties calculated at the PBE-GGA level.

Summary:
calculated formation energy = -426 meV/atom
space-group type = C2/m (12)

Unit cell a=6.6025 b=6.6025 c=11.5201 alpha=116.55 beta=116.55 gamma=43.58
Last column: nearest neighbours and their distance in Å.
Fractional positions:
Ca  0.0071  0.0071  0.1750  6 Pb 3.32-3.64, 4 Mg 3.49-3.71
Ca  0.1745  0.1745  0.5950  4 Pb 3.23-3.46
Ca  0.8255  0.8255  0.4050  4 Pb 3.23-3.46
Ca  0.9929  0.9929  0.8250  6 Pb 3.32-3.64, 4 Mg 3.49-3.71
Mg  0.2883  0.2883  0.1319  4 Pb 2.92-3.03
Mg  0.7117  0.7117  0.8681  4 Pb 2.92-3.03
Pb  0.3563  0.3563  0.9118  3 Mg 2.92-3.03, 1 Pb 3.11, 1 Ca 3.23
Pb  0.4669  0.4669  0.6190  1 Mg 2.99, 1 Pb 3.21, 4 Ca 3.31-3.32
Pb  0.5331  0.5331  0.3810  1 Mg 2.99, 1 Pb 3.21, 4 Ca 3.31-3.32
Pb  0.6437  0.6437  0.0882  3 Mg 2.92-3.03, 1 Pb 3.11, 1 Ca 3.23

---

No. 2
Below is crystalline BBrO2 at its relaxed geometry, with properties calculated at the PBE-GGA level.

Summary:
E above lowest polymorph = 480.7 meV/atom
space-group type = R-3m (166)

Unit cell a=7.6218 b=7.6218 c=7.6218 alpha=19.85 beta=19.85 gamma=19.85
Last column: nearest neighbours and their distance in Å.
Fractional positions:
B  0.0000  0.0000  0.0000  6 O 1.72
Br  0.5000  0.5000  0.5000  6 Br 2.63, 2 O 2.92
O  0.3698  0.3698  0.3698  3 B 1.72
O  0.6302  0.6302  0.6302  3 B 1.72

---

No. 3
Below is crystalline Tb2ZnPb at its relaxed geometry, with properties calculated at the PBE-GGA level.

Summary:
calculated formation energy = -21 meV/atom
space-group type = R-3m (166)

Unit cell a=11.0714 b=11.0714 c=11.0714 alpha=18.34 beta=18.34 gamma=18.34
Last column: nearest neighbours and their distance in Å.
Fractional positions:
Tb  0.0983  0.0983  0.0983  3 Zn 3.02, 1 Pb 3.21
Tb  0.9017  0.9017  0.9017  3 Zn 3.02, 1 Pb 3.21
Zn  0.5000  0.5000  0.5000  6 Tb 3.02
Pb  0.0000  0.0000  0.0000  2 Tb 3.21, 6 Pb 3.53

---

No. 4
Below is crystalline W4C at its relaxed geometry, with properties calculated at the PBE-GGA level.

Summary:
E above lowest polymorph = 1599.6 meV/atom
calculated formation energy = 1863 meV/atom
space-group type = I4/mmm (139)

Unit cell a=7.5904 b=7.5904 c=7.5904 alpha=154.32 beta=154.32 gamma=36.63
Last column: nearest neighbours and their distance in Å.
Fractional positions:
W  0.0876  0.0876  0.0000  1 W 2.53, 4 C 2.70
W  0.2500  0.7500  0.5000  4 W 2.39
W  0.7500  0.2500  0.5000  4 W 2.39
W  0.9124  0.9124  0.0000  1 W 2.53, 4 C 2.70
C  0.5000  0.5000  0.0000  8 W 2.70

---

No. 5
Below is crystalline Zn2InFe2 at its relaxed geometry, with properties calculated at the PBE-GGA level.

Summary:
calculated formation energy = 244 meV/atom
space-group type = P4/mbm (127)

Unit cell a=7.1284 b=7.1284 c=2.9329 alpha=90.00 beta=90.00 gamma=90.00
Last column: nearest neighbours and their distance in Å.
Fractional positions:
Zn  0.1247  0.3753  0.0000  1 Zn 2.51, 6 Fe 2.53-2.58
Zn  0.3753  0.8753  0.0000  1 Zn 2.51, 6 Fe 2.53-2.58
Zn  0.6247  0.1247  0.0000  1 Zn 2.51, 6 Fe 2.53-2.58
Zn  0.8753  0.6247  0.0000  1 Zn 2.51, 6 Fe 2.53-2.58
In  0.0000  0.0000  0.0000  4 Zn 2.82, 2 In 2.93, 8 Fe 3.02
In  0.5000  0.5000  0.0000  4 Zn 2.82, 2 In 2.93, 8 Fe 3.02
Fe  0.1704  0.6704  0.5000  6 Zn 2.53-2.58
Fe  0.3296  0.1704  0.5000  6 Zn 2.53-2.58
Fe  0.6704  0.8296  0.5000  6 Zn 2.53-2.58
Fe  0.8296  0.3296  0.5000  6 Zn 2.53-2.58

---

No. 6
Below is crystalline Zr2TlCd at its relaxed geometry, with properties calculated at the PBE-GGA level.

Summary:
calculated formation energy = -31 meV/atom
space-group type = Cmm2 (35)

Unit cell a=3.1593 b=3.1593 c=9.4309 alpha=90.00 beta=90.00 gamma=92.05
Last column: nearest neighbours and their distance in Å.
Fractional positions:
Zr  0.0000  0.0000  0.0000  8 Zr 3.13-3.19, 4 Tl 3.30-3.36
Zr  0.5000  0.5000  0.2368  8 Zr 3.13-3.19, 4 Cd 3.20-3.25
Tl  0.5000  0.5000  0.7384  4 Tl 3.16, 4 Cd 3.25-3.31, 4 Zr 3.30-3.36
Cd  0.0000  0.0000  0.4838  4 Cd 3.16, 4 Zr 3.20-3.25, 4 Tl 3.25-3.31

---

No. 7
Below is crystalline Na3Sr2SbO6 at its relaxed geometry, with properties calculated at the PBE-GGA level.

Summary:
electronic total energy = -5.447 eV per atom
space-group type = C2/m (12)

Unit cell a=6.1342 b=6.1342 c=5.9322 alpha=99.40 beta=99.40 gamma=120.83
Last column: nearest neighbours and their distance in Å.
Fractional positions:
Na  0.0000  0.0000  0.0000  4 O 2.49
Na  0.3578  0.6422  0.0000  4 O 2.36-2.41
Na  0.6422  0.3578  0.0000  4 O 2.36-2.41
Sr  0.1684  0.8316  0.5000  6 O 2.50-2.54
Sr  0.8316  0.1684  0.5000  6 O 2.50-2.54
Sb  0.5000  0.5000  0.5000  6 O 2.06-2.07
O  0.1568  0.4312  0.2847  1 Sb 2.07
O  0.2838  0.2838  0.7039  1 Sb 2.06
O  0.4312  0.1568  0.2847  1 Sb 2.07
O  0.5688  0.8432  0.7153  1 Sb 2.07
O  0.7162  0.7162  0.2961  1 Sb 2.06
O  0.8432  0.5688  0.7153  1 Sb 2.07

---

No. 8
Below is crystalline AcSn2Ir3 at its relaxed geometry, with properties calculated at the PBE-GGA level.

Summary:
calculated formation energy = -428 meV/atom
space-group type = P6/mmm (191)

Unit cell a=5.9233 b=5.9233 c=4.1593 alpha=90.00 beta=90.00 gamma=120.00
Last column: nearest neighbours and their distance in Å.
Fractional positions:
Ac  0.0000  0.0000  0.0000  6 Sn 3.42, 12 Ir 3.62
Sn  0.3333  0.6667  0.0000  6 Ir 2.69
Sn  0.6667  0.3333  0.0000  6 Ir 2.69
Ir  0.0000  0.5000  0.5000  4 Sn 2.69, 4 Ir 2.96
Ir  0.5000  0.0000  0.5000  4 Sn 2.69, 4 Ir 2.96
Ir  0.5000  0.5000  0.5000  4 Sn 2.69, 4 Ir 2.96

---

Number 1: total magnetic moment 0.00 μB per cell. Number 2: total magnetic moment 0.91 μB per cell. Number 3: total magnetic moment 0.00 μB per cell. Number 4: total magnetic moment 0.00 μB per cell. Number 5: total magnetic moment 9.39 μB per cell. Number 6: total magnetic moment 0.00 μB per cell. Number 7: total magnetic moment 0.00 μB per cell. Number 8: total magnetic moment 0.00 μB per cell.